Here is a PBEsol-optimized structure of PrGePt from Alexandria via LeMat-Bulk. Energies are from SCAN.

Summary:
formation energy = -1.27 eV per atom
magnetic moment = 0.000 μB/f.u.

Cell: 4.439 14.538 7.603 Å, 90.00 90.00 90.00°
Space group Pmmn (No. 59, origin choice 2)
One atom of each set of equivalent atoms:
Pr1 0.250 0.003 0.206 [4 per cell]
Pr2 0.250 0.250 0.298 [2 per cell]
Pr3 0.250 0.750 0.293 [2 per cell]
Ge1 0.250 0.098 0.590 [4 per cell]
Ge2 0.250 0.656 0.911 [4 per cell]
Pt1 0.250 0.143 0.920 [4 per cell]
Pt2 0.250 0.597 0.583 [4 per cell]

=====

Here is a PBEsol-optimized structure of PrGeRh from Alexandria via LeMat-Bulk. Energies are from SCAN.

Summary:
formation energy = -1.02 eV per atom
magnetic moment = 0.000 μB/f.u.

Cell: 7.343 4.456 7.118 Å, 90.00 90.00 90.00°
Space group Pnma (No. 62)
One atom of each set of equivalent atoms:
Pr1 0.018 0.250 0.177 [4 per cell]
Ge1 0.196 0.250 0.609 [4 per cell]
Rh1 0.141 0.750 0.429 [4 per cell]

=====

Here is a PBEsol-optimized structure of PrGe4Rh6 from Alexandria via LeMat-Bulk. Energies are from SCAN.

Summary:
formation energy = -0.86 eV per atom
magnetic moment = 0.000 μB/f.u.

Cell: 7.1169 7.1169 3.8454 Å, 90.00 90.00 120.00°
Space group P-6m2 (No. 187)
One atom of each set of equivalent atoms:
Pr1 0.0000 0.0000 0.0000 [1 per cell]
Ge1 0.1987 0.3975 0.5000 [3 per cell]
Ge2 0.6667 0.3333 0.0000 [1 per cell]
Rh1 0.0665 0.5332 0.0000 [3 per cell]
Rh2 0.4025 0.2013 0.5000 [3 per cell]

=====

Here is a PBEsol-optimized structure of Pr2Ge5Rh3 from Alexandria via LeMat-Bulk. Energies are from SCAN.

Summary:
formation energy = -0.97 eV per atom
magnetic moment = 0.000 μB/f.u.

Cell: 10.054 11.974 5.990 Å, 90.00 90.00 90.00°
Space group Ibam (No. 72)
One atom of each set of equivalent atoms:
Pr1 0.231 0.133 0.000 [8 per cell]
Ge1 0.000 0.000 0.250 [4 per cell]
Ge2 0.000 0.277 0.250 [8 per cell]
Ge3 0.160 0.400 0.000 [8 per cell]
Rh1 0.000 0.500 0.250 [4 per cell]
Rh2 0.106 0.140 0.500 [8 per cell]

=====

Here is a PBEsol-optimized structure of PrGe2Ru2 from Alexandria via LeMat-Bulk. Energies are from SCAN.

Summary:
formation energy = -0.79 eV per atom
magnetic moment = 0.000 μB/f.u.

Cell: 4.241 4.241 10.000 Å, 90.00 90.00 90.00°
Space group I4/mmm (No. 139)
One atom of each set of equivalent atoms:
Pr1 0.000 0.000 0.000 [2 per cell]
Ge1 0.000 0.000 0.367 [4 per cell]
Ru1 0.000 0.500 0.250 [4 per cell]

=====

Here is a PBEsol-optimized structure of PrGeRu from Alexandria via LeMat-Bulk. Energies are from SCAN.

Summary:
formation energy = -0.77 eV per atom
magnetic moment = 0.000 μB/f.u.

Cell: 4.249 4.249 6.904 Å, 90.00 90.00 90.00°
Space group P4/nmm (No. 129, origin choice 2)
One atom of each set of equivalent atoms:
Pr1 0.250 0.250 0.183 [2 per cell]
Ge1 0.250 0.250 0.689 [2 per cell]
Ru1 0.250 0.750 0.500 [2 per cell]

=====

Here is a PBEsol-optimized structure of Pr3Ge13Ru4 from Alexandria via LeMat-Bulk. Energies are from SCAN.

Summary:
formation energy = -0.50 eV per atom
magnetic moment = 0.000 μB/f.u.

Cell: 9.034 9.034 9.034 Å, 90.00 90.00 90.00°
Space group Pm-3n (No. 223)
One atom of each set of equivalent atoms:
Pr1 0.000 0.250 0.500 [6 per cell]
Ge1 0.000 0.000 0.000 [2 per cell]
Ge2 0.000 0.295 0.147 [24 per cell]
Ru1 0.250 0.250 0.250 [8 per cell]

=====

Here is a PBEsol-optimized structure of Pr3Ge2Ru2 from Alexandria via LeMat-Bulk. Energies are from SCAN.

Summary:
formation energy = -0.69 eV per atom
magnetic moment = 0.000 μB/f.u.

Cell: 5.704 7.895 13.566 Å, 90.00 90.00 90.00°
Space group Pbcm (No. 57)
One atom of each set of equivalent atoms:
Pr1 0.127 0.240 0.250 [4 per cell]
Pr2 0.351 0.598 0.098 [8 per cell]
Ge1 0.115 0.250 0.000 [4 per cell]
Ge2 0.362 0.609 0.750 [4 per cell]
Ru1 0.145 0.531 0.590 [8 per cell]